# 1
Entry from the Alexandria database: crystalline LiZr2P3O12 at its relaxed geometry (PBE). Values from VASP.

Output
Distance to the lowest polymorph of the same formula = 5 meV per atom
Crystal system = triclinic
Uncorrected formation energy = -2700 meV per atom

Cell and atoms, written as Quantum ESPRESSO input:
```
&SYSTEM
  ibrav = 0, nat = 36, ntyp = 4
/
ATOMIC_SPECIES
Li 6.94 Li.upf
Zr 91.22 Zr.upf
P 30.97 P.upf
O 16.00 O.upf
CELL_PARAMETERS angstrom
-5.192 -2.160 6.843
-1.789 -3.419 -8.030
8.620 -3.422 -0.266
ATOMIC_POSITIONS crystal
Li 0.351 0.304 0.611
Li 0.649 0.696 0.389
Zr 0.801 0.646 0.936
Zr 0.214 0.854 0.571
Zr 0.786 0.146 0.429
Zr 0.199 0.354 0.064
P 0.712 0.247 0.754
P 0.014 0.044 0.261
P 0.279 0.521 0.747
P 0.721 0.479 0.253
P 0.986 0.956 0.739
P 0.288 0.753 0.246
O 0.904 0.303 0.934
O 0.525 0.062 0.719
O 0.657 0.390 0.752
O 0.170 0.047 0.439
O 0.141 0.218 0.230
O 0.490 0.569 0.784
O 0.247 0.763 0.387
O 0.846 0.046 0.271
O 0.118 0.335 0.598
O 0.272 0.504 0.908
O 0.091 0.125 0.887
O 0.242 0.667 0.688
O 0.758 0.333 0.312
O 0.909 0.875 0.113
O 0.728 0.496 0.092
O 0.882 0.665 0.402
O 0.154 0.954 0.729
O 0.753 0.237 0.613
O 0.510 0.431 0.216
O 0.859 0.782 0.770
O 0.830 0.953 0.561
O 0.343 0.610 0.248
O 0.475 0.938 0.281
O 0.096 0.697 0.066
```

=====

# 2
Entry from the Alexandria database: crystalline Re3Tc4Os2 at its relaxed geometry (PBE). Values from VASP.

Output
Distance to the lowest polymorph of the same formula = 0 meV per atom
Crystal system = triclinic

Cell and atoms, written as Quantum ESPRESSO input:
```
&SYSTEM
  ibrav = 0, nat = 18, ntyp = 3
/
ATOMIC_SPECIES
Re 186.21 Re.upf
Tc 98.00 Tc.upf
Os 190.23 Os.upf
CELL_PARAMETERS angstrom
-1.738 -1.424 -4.229
6.765 -2.164 -4.750
1.723 -6.685 1.554
ATOMIC_POSITIONS crystal
Re 0.109 0.946 0.692
Re 0.443 0.279 0.028
Re 0.891 0.054 0.308
Re 0.557 0.721 0.972
Re 0.222 0.389 0.638
Re 0.778 0.611 0.362
Tc 0.559 0.052 0.809
Tc 0.997 0.172 0.911
Tc 0.441 0.948 0.191
Tc 0.003 0.828 0.089
Tc 0.665 0.834 0.580
Tc 0.891 0.388 0.141
Tc 0.335 0.166 0.420
Tc 0.109 0.612 0.859
Os 0.223 0.721 0.475
Os 0.332 0.502 0.247
Os 0.777 0.279 0.525
Os 0.668 0.498 0.753
```

=====

# 3
Entry from the Alexandria database: crystalline YTa3In at its relaxed geometry (PBE). Values from VASP.

Output
Distance to the lowest polymorph of the same formula = 0 meV per atom
Crystal system = cubic

Cell and atoms, written as Quantum ESPRESSO input:
```
&SYSTEM
  ibrav = 0, nat = 5, ntyp = 3
/
ATOMIC_SPECIES
Y 88.91 Y.upf
In 114.82 In.upf
Ta 180.95 Ta.upf
CELL_PARAMETERS angstrom
5.084 0.000 0.000
0.000 5.084 0.000
0.000 0.000 5.084
ATOMIC_POSITIONS crystal
Y 0.500 0.500 0.500
In 0.000 0.000 0.000
Ta 0.000 0.500 0.000
Ta 0.000 0.000 0.500
Ta 0.500 0.000 0.000
```

=====

# 4
Entry from the Alexandria database: crystalline LiMg2Be at its relaxed geometry (PBE). Values from VASP.

Output
VASP energy = -13.6 eV per cell
Crystal system = tetragonal

Cell and atoms, written as Quantum ESPRESSO input:
```
&SYSTEM
  ibrav = 0, nat = 8, ntyp = 3
/
ATOMIC_SPECIES
Be 9.01 Be.upf
Mg 24.30 Mg.upf
Li 6.94 Li.upf
CELL_PARAMETERS angstrom
-3.275 0.618 -2.377
2.317 -0.537 -3.332
-2.357 -9.204 -2.671
ATOMIC_POSITIONS crystal
Be 0.000 0.000 0.000
Be 0.750 0.250 0.500
Mg 0.641 0.125 0.250
Mg 0.109 0.625 0.250
Mg 0.375 0.359 0.750
Mg 0.875 0.891 0.750
Li 0.500 0.500 0.000
Li 0.250 0.750 0.500
```

=====

# 5
Entry from the Alexandria database: crystalline ReSb2Pt at its relaxed geometry (PBE). Values from VASP.

Output
Distance to the lowest polymorph of the same formula = 527 meV per atom
Crystal system = monoclinic
Uncorrected formation energy = 679 meV per atom

Cell and atoms, written as Quantum ESPRESSO input:
```
&SYSTEM
  ibrav = 0, nat = 4, ntyp = 3
/
ATOMIC_SPECIES
Pt 195.08 Pt.upf
Re 186.21 Re.upf
Sb 121.76 Sb.upf
CELL_PARAMETERS angstrom
4.826 0.000 0.000
0.000 2.940 0.016
0.000 -0.100 5.501
ATOMIC_POSITIONS crystal
Pt 0.500 0.250 0.250
Re 0.500 0.750 0.750
Sb 0.000 0.963 0.003
Sb 0.000 0.537 0.497
```

=====

# 6
Entry from the Alexandria database: crystalline GaBiCl4 at its relaxed geometry (PBE). Values from VASP.

Output
Crystal system = monoclinic
Uncorrected formation energy = -886 meV per atom

Cell and atoms, written as Quantum ESPRESSO input:
```
&SYSTEM
  ibrav = 0, nat = 12, ntyp = 3
/
ATOMIC_SPECIES
Ga 69.72 Ga.upf
Bi 208.98 Bi.upf
Cl 35.45 Cl.upf
CELL_PARAMETERS angstrom
-2.097 -4.140 4.968
-3.328 -3.522 -6.007
8.847 -0.387 -0.406
ATOMIC_POSITIONS crystal
Ga 0.920 0.170 0.340
Ga 0.080 0.830 0.660
Bi 0.332 0.582 0.165
Bi 0.668 0.418 0.835
Cl 0.303 0.132 0.582
Cl 0.025 0.766 0.089
Cl 0.220 0.550 0.418
Cl 0.436 0.677 0.911
Cl 0.697 0.868 0.418
Cl 0.780 0.450 0.582
Cl 0.975 0.234 0.911
Cl 0.564 0.323 0.089
```

=====

# 7
Entry from the Alexandria database: crystalline Cd8O6F at its relaxed geometry (PBE). Values from VASP.

Output
Crystal system = trigonal
Uncorrected formation energy = -864 meV per atom

Cell and atoms, written as Quantum ESPRESSO input:
```
&SYSTEM
  ibrav = 0, nat = 15, ntyp = 3
/
ATOMIC_SPECIES
Cd 112.41 Cd.upf
O 16.00 O.upf
F 19.00 F.upf
CELL_PARAMETERS angstrom
6.289 0.002 0.002
-0.194 6.286 0.002
-0.194 -0.200 6.283
ATOMIC_POSITIONS crystal
Cd 0.677 0.677 0.677
Cd 0.323 0.323 0.323
Cd 0.632 0.852 0.154
Cd 0.852 0.154 0.632
Cd 0.154 0.632 0.852
Cd 0.368 0.148 0.846
Cd 0.148 0.846 0.368
Cd 0.846 0.368 0.148
O 0.662 0.363 0.841
O 0.363 0.841 0.662
O 0.841 0.662 0.363
O 0.338 0.637 0.159
O 0.637 0.159 0.338
O 0.159 0.338 0.637
F 0.000 0.000 0.000
```

=====

# 8
Entry from the Alexandria database: crystalline KBaFe2 at its relaxed geometry (PBE). Values from VASP.

Output
Distance to the lowest polymorph of the same formula = 469 meV per atom
Crystal system = cubic

Cell and atoms, written as Quantum ESPRESSO input:
```
&SYSTEM
  ibrav = 0, nat = 4, ntyp = 3
/
ATOMIC_SPECIES
Ba 137.33 Ba.upf
Fe 55.84 Fe.upf
K 39.10 K.upf
CELL_PARAMETERS angstrom
5.260 0.000 0.000
2.630 4.556 0.000
2.630 1.519 4.295
ATOMIC_POSITIONS crystal
Ba 0.500 0.500 0.500
Fe 0.000 0.000 0.000
Fe 0.750 0.750 0.750
K 0.250 0.250 0.250
```

=====

# 9
Entry from the Alexandria database: crystalline Sm4SiPbSe2 at its relaxed geometry (PBE). Values from VASP.

Output
Crystal system = monoclinic
Uncorrected formation energy = -1217 meV per atom

Cell and atoms, written as Quantum ESPRESSO input:
```
&SYSTEM
  ibrav = 0, nat = 8, ntyp = 4
/
ATOMIC_SPECIES
Sm 150.36 Sm.upf
Si 28.09 Si.upf
Pb 207.20 Pb.upf
Se 78.96 Se.upf
CELL_PARAMETERS angstrom
-0.819 -4.160 -0.141
3.659 -0.501 -6.475
7.201 -1.465 1.374
ATOMIC_POSITIONS crystal
Sm 0.000 0.755 0.735
Sm 0.000 0.245 0.265
Sm 0.500 0.744 0.263
Sm 0.500 0.256 0.737
Si 0.000 0.500 0.500
Pb 0.500 0.500 0.000
Se 0.000 0.000 0.000
Se 0.500 0.000 0.500
```

=====

# 10
Entry from the Alexandria database: crystalline ScBiAu at its relaxed geometry (PBE). Values from VASP.

Output
VASP energy = -14.9 eV per cell
Crystal system = trigonal

Cell and atoms, written as Quantum ESPRESSO input:
```
&SYSTEM
  ibrav = 0, nat = 3, ntyp = 3
/
ATOMIC_SPECIES
Sc 44.96 Sc.upf
Au 196.97 Au.upf
Bi 208.98 Bi.upf
CELL_PARAMETERS angstrom
-1.591 1.516 3.425
-4.166 -1.083 -1.456
2.403 -2.987 2.439
ATOMIC_POSITIONS crystal
Sc 0.274 0.333 0.667
Au 0.025 0.000 0.000
Bi 0.701 0.667 0.333
```

=====

# 11
Entry from the Alexandria database: crystalline TbNd2Sm6Ho at its relaxed geometry (PBE). Values from VASP.

Output
VASP energy = -91.8 eV per cell
Crystal system = monoclinic

Cell and atoms, written as Quantum ESPRESSO input:
```
&SYSTEM
  ibrav = 0, nat = 20, ntyp = 4
/
ATOMIC_SPECIES
Tb 158.93 Tb.upf
Nd 144.24 Nd.upf
Sm 150.36 Sm.upf
Ho 164.93 Ho.upf
CELL_PARAMETERS angstrom
9.322 -2.114 -2.194
0.757 8.639 -2.056
0.757 -2.375 8.557
ATOMIC_POSITIONS crystal
Tb 0.250 0.981 0.019
Tb 0.750 0.019 0.981
Nd 0.458 0.805 0.702
Nd 0.042 0.298 0.195
Nd 0.542 0.195 0.298
Nd 0.958 0.702 0.805
Sm 0.056 0.124 0.750
Sm 0.444 0.250 0.876
Sm 0.944 0.876 0.250
Sm 0.556 0.750 0.124
Sm 0.312 0.982 0.426
Sm 0.188 0.574 0.018
Sm 0.688 0.018 0.574
Sm 0.812 0.426 0.982
Sm 0.120 0.708 0.498
Sm 0.380 0.502 0.292
Sm 0.880 0.292 0.502
Sm 0.620 0.498 0.708
Ho 0.250 0.408 0.592
Ho 0.750 0.592 0.408
```

=====

# 12
Entry from the Alexandria database: crystalline PrYSi2Ni2 at its relaxed geometry (PBE). Values from VASP.

Output
Crystal system = trigonal
Uncorrected formation energy = -748 meV per atom

Cell and atoms, written as Quantum ESPRESSO input:
```
&SYSTEM
  ibrav = 0, nat = 6, ntyp = 4
/
ATOMIC_SPECIES
Pr 140.91 Pr.upf
Y 88.91 Y.upf
Si 28.09 Si.upf
Ni 58.69 Ni.upf
CELL_PARAMETERS angstrom
-2.975 2.416 -1.122
-0.509 -2.500 3.072
2.782 5.853 5.226
ATOMIC_POSITIONS crystal
Pr 0.000 0.000 0.000
Y 0.000 0.000 0.500
Si 0.667 0.333 0.741
Si 0.333 0.667 0.259
Ni 0.667 0.333 0.262
Ni 0.333 0.667 0.738
```

=====

Q: Number 4 is which compound?
A: LiMg2Be